# 1
Material: Pr12ErMg3
Method: DFT, GGA-PBE
State: relaxed

Properties
Total magnetization   0.0 Bohr magnetons per cell
Energy of formation from the pure elements   -0.1 eV/f.u.
Electronic total energy   -4.1742 eV per atom

Cell lengths 5.0905, 5.0905, 20.5294 Å; angles 90.00, 90.00, 90.00 degrees
Atoms (fractional coordinates):
Pr1 0.0000 0.0000 0.0000
Pr2 0.0000 0.0000 0.2480
Pr3 0.0000 0.0000 0.5000
Pr4 0.0000 0.0000 0.7520
Pr5 0.0000 0.5000 0.1239
Pr6 0.0000 0.5000 0.3726
Pr7 0.0000 0.5000 0.6274
Pr8 0.0000 0.5000 0.8761
Pr9 0.5000 0.0000 0.1239
Pr10 0.5000 0.0000 0.3726
Pr11 0.5000 0.0000 0.6274
Pr12 0.5000 0.0000 0.8761
Er1 0.5000 0.5000 0.5000
Mg1 0.5000 0.5000 0.0000
Mg2 0.5000 0.5000 0.2467
Mg3 0.5000 0.5000 0.7533



# 2
Material: PrY2Ho3Se6
Method: DFT, GGA-PBE
State: relaxed

Properties
Total magnetization   0.0 Bohr magnetons per cell
Electronic total energy   -6.1201 eV per atom

Cell lengths 7.0962, 7.0962, 7.1319 Å; angles 99.50, 99.50, 120.25 degrees
Atoms (fractional coordinates):
Pr1 0.0000 0.0000 0.0000
Y1 0.3347 0.6653 0.0000
Y2 0.6653 0.3347 0.0000
Ho1 0.1596 0.8404 0.5000
Ho2 0.5000 0.5000 0.5000
Ho3 0.8404 0.1596 0.5000
Se1 0.0862 0.4304 0.2599
Se2 0.2584 0.2584 0.7452
Se3 0.4304 0.0862 0.2599
Se4 0.5696 0.9138 0.7401
Se5 0.7416 0.7416 0.2548
Se6 0.9138 0.5696 0.7401



# 3
Material: TlMoW2
Method: DFT, GGA-PBE
State: relaxed

Properties
Total magnetization   0.0 Bohr magnetons per cell
Energy of formation from the pure elements   2.3 eV/f.u.
Electronic total energy   -9.2117 eV per atom

Cell lengths 2.8652, 2.8652, 9.3119 Å; angles 90.00, 90.00, 111.39 degrees
Atoms (fractional coordinates):
Tl1 0.0000 0.0000 0.0000
Mo1 0.0000 0.0000 0.5000
W1 0.5000 0.5000 0.2709
W2 0.5000 0.5000 0.7291



# 4
Material: LiHgAu6
Method: DFT, GGA-PBE
State: relaxed

Properties
Total magnetization   0.0 Bohr magnetons per cell
Energy of formation from the pure elements   -1.2 eV/f.u.
Electronic total energy   -2.8884 eV per atom

Cell lengths 4.1463, 4.1463, 8.3549 Å; angles 90.00, 90.00, 90.00 degrees
Atoms (fractional coordinates):
Li1 0.0000 0.0000 0.0000
Hg1 0.0000 0.0000 0.5000
Au1 0.0000 0.5000 0.2368
Au2 0.0000 0.5000 0.7632
Au3 0.5000 0.0000 0.2368
Au4 0.5000 0.0000 0.7632
Au5 0.5000 0.5000 0.0000
Au6 0.5000 0.5000 0.5000